Entry 1:
DFT (PBE) results for CaPr8Ga6 after structural relaxation.

```
data_CaPr8Ga6
_cell_length_a 9.0349
_cell_length_b 9.0349
_cell_length_c 18.9616
_cell_angle_alpha 90.00
_cell_angle_beta 90.00
_cell_angle_gamma 120.00
_space_group_name_H-M_alt 'R -3'
_space_group_IT_number 148
_space_group_name_Hall '-R 3'
loop_
_atom_site_label
_atom_site_type_symbol
_atom_site_fract_x
_atom_site_fract_y
_atom_site_fract_z
Ca1 Ca 0.0000 0.0000 0.0000
Pr1 Pr 0.0000 0.0000 0.3356
Pr2 Pr 0.0000 0.3280 0.8894
Ga1 Ga 0.9999 0.3341 0.3902
```

Properties
Energy of formation from the pure elements, eV per atom: -0.343
Theoretical density, g cm⁻³: 5.89
V, Å³ per atom: 29.8
N(E_F), states/eV/atom: 1.259
Final energy, eV/atom: -4.2361

Entry 2:
DFT (PBE) results for PrSm6Ag after structural relaxation.

```
data_PrSm6Ag
_cell_length_a 6.4220
_cell_length_b 6.4232
_cell_length_c 6.4274
_cell_angle_alpha 96.12
_cell_angle_beta 95.91
_cell_angle_gamma 96.00
_space_group_name_H-M_alt 'P -1'
_space_group_IT_number 2
_space_group_name_Hall '-P 1'
loop_
_atom_site_label
_atom_site_type_symbol
_atom_site_fract_x
_atom_site_fract_y
_atom_site_fract_z
Pr1 Pr 0.0000 0.0000 0.0000
Sm1 Sm 0.0718 0.2637 0.5473
Sm2 Sm 0.2638 0.5471 0.0715
Sm3 Sm 0.4526 0.9287 0.7362
Ag1 Ag 0.5000 0.5000 0.5000
```

Properties
Energy of formation from the pure elements, eV per atom: 0.039
Theoretical density, g cm⁻³: 7.34
V, Å³ per atom: 32.6
N(E_F), states/eV/atom: 1.248
Final energy, eV/atom: -4.4540

> Among the records above, which one has the lowest V?

CaPr8Ga6

> Look up the V of the second one.

32.6 Å³ per atom

> V of number 1 (CaPr8Ga6)?

29.8 Å³ per atom

> theoretical density of number 1 (CaPr8Ga6)?

5.89 g cm⁻³